Below is an optimized crystal structure of Re2BiRh, with properties calculated at the PBE level.

Results
Magnetization in Bohr magnetons per cell: 0.0
Space group: I-42d
ΔE_f in eV per atom: 1.5703
Energy in eV per atom: -7.462

extended XYZ file:
```
8
Lattice="5.903 0.000 0.000 0.000 5.903 0.000 2.951 2.951 5.820" Properties=species:S:1:pos:R:3 pbc="T T T"
Rh 2.951 2.951 0.000
Re 7.378 7.086 4.365
Bi 0.000 0.000 0.000
Re 1.768 4.427 1.455
Re 4.135 1.476 1.455
Rh 2.951 5.903 2.910
Bi 5.903 2.951 2.910
Re 4.427 4.719 4.365
```